Entry from Alexandria: a geometry-optimized NbB2C structure (PBE-GGA).

Formation energy: 0.28 eV/atom

Cell lengths 5.2895, 5.2895, 4.5599 Å; angles 54.55, 54.55, 90.00 degrees
With the nearest neighbours (Å) after each atom.
Atoms (fractional coordinates):
C (0.2500, 0.7500, 0.5000)  4 B 1.66
B (0.3750, 0.4809, 0.7500)  2 C 1.66
Nb (0.0000, 0.0000, 0.0000)  8 B 2.39-2.48, 2 C 2.61
C (0.5000, 0.5000, 0.0000)  4 B 1.66
B (0.5191, 0.1250, 0.2500)  2 C 1.66
B (0.2309, 0.6250, 0.2500)  2 C 1.66
Nb (0.7500, 0.2500, 0.5000)  8 B 2.39-2.48, 2 C 2.61
B (0.8750, 0.7691, 0.7500)  2 C 1.66

Entry from Alexandria: a geometry-optimized TiTc2OsAu structure (PBE-GGA).

Formation energy: 1.18 eV/atom

Cell lengths 4.6864, 4.6738, 4.6864 Å; angles 90.00, 90.00, 90.00 degrees
With the nearest neighbours (Å) after each atom.
Atoms (fractional coordinates):
Ti (0.0000, 0.5000, 0.0000)  2 Os 2.34
Au (0.5000, 0.5000, 0.5000)  8 Tc 3.31, 4 Ti 3.31
Tc (0.0000, 0.0000, 0.5000)  2 Os 2.34
Tc (0.5000, 0.0000, 0.0000)  2 Os 2.34
Os (0.0000, 0.0000, 0.0000)  2 Ti 2.34, 4 Tc 2.34

Entry from Alexandria: a geometry-optimized EuErRh structure (PBE-GGA).

Formation energy: -0.45 eV/atom
Excess energy over the best structure of this formula in the dataset: 0.038 eV per atom

Cell lengths 4.8590, 4.8590, 4.8590 Å; angles 60.00, 60.00, 60.00 degrees
With the nearest neighbours (Å) after each atom.
Atoms (fractional coordinates):
Er (0.5000, 0.5000, 0.5000)  4 Rh 2.98
Eu (0.0000, 0.0000, 0.0000)  4 Rh 2.98
Rh (0.2500, 0.2500, 0.2500)  4 Er 2.98, 4 Eu 2.98

Entry from Alexandria: a geometry-optimized CdAs2SeS structure (PBE-GGA).

Formation energy (no corrections): 1.170 eV per atom
Excess energy over the best structure of this formula in the dataset: 0.579 eV per atom

Cell lengths 5.2091, 5.2091, 5.0311 Å; angles 90.00, 90.00, 90.00 degrees
With the nearest neighbours (Å) after each atom.
Atoms (fractional coordinates):
Cd (0.0000, 0.0000, 0.0000)  2 Se 2.52, 4 As 2.60
As (0.5000, 0.0000, 0.0000)  2 Cd 2.60
S (0.5000, 0.5000, 0.5000)  8 As 3.62, 4 Se 3.68
As (0.0000, 0.5000, 0.0000)  2 Cd 2.60
Se (0.0000, 0.0000, 0.5000)  2 Cd 2.52

Question: Number 1 is which compound?
Answer: NbB2C